(1)
{"formula": "Sm2GeAu", "functional": "PBE-GGA", "state": "optimized geometry", "lattice": [[2.1891, 1.2639, 6.7107], [-2.1891, 1.2639, 6.7107], [0.0000, -2.5278, 6.7107]], "species": ["Sm", "Sm", "Ge", "Au"], "frac_coords": [[0.2446, 0.2446, 0.2446], [0.7554, 0.7554, 0.7554], [0.5000, 0.5000, 0.5000], [0.0000, 0.0000, 0.0000]], "spacegroup": "R-3m (166)", "e_form_ev_per_atom": -0.70}


(2)
{"formula": "Sc2TiBAu", "functional": "PBE-GGA", "state": "optimized geometry", "lattice": [[4.9516, 0.0000, 0.0000], [0.0000, 4.9516, 0.0000], [0.0000, 0.0000, 4.7293]], "species": ["Sc", "Sc", "Ti", "B", "Au"], "frac_coords": [[0.0000, 0.5000, 0.0000], [0.5000, 0.0000, 0.0000], [0.0000, 0.0000, 0.0000], [0.5000, 0.5000, 0.5000], [0.0000, 0.0000, 0.5000]], "spacegroup": "P4/mmm (123)", "e_form_ev_per_atom": 1.33}


(3)
{"formula": "CaTmZnGa", "functional": "PBE-GGA", "state": "optimized geometry", "lattice": [[0.0000, 3.5840, 3.5840], [3.5840, 0.0000, 3.5840], [3.5840, 3.5840, 0.0000]], "species": ["Ca", "Tm", "Zn", "Ga"], "frac_coords": [[0.0000, 0.0000, 0.0000], [0.5000, 0.5000, 0.5000], [0.2500, 0.2500, 0.2500], [0.7500, 0.7500, 0.7500]], "spacegroup": "F-43m (216)", "e_form_ev_per_atom": -0.41}


(4)
{"formula": "Dy6Pd5Pt", "functional": "PBE-GGA", "state": "optimized geometry", "lattice": [[3.5455, -6.1242, 0.0000], [3.5455, 6.1242, 0.0000], [-2.3499, 0.0000, 6.6185]], "species": ["Dy", "Dy", "Dy", "Dy", "Dy", "Dy", "Pd", "Pd", "Pd", "Pd", "Pd", "Pt"], "frac_coords": [[0.0815, 0.4114, 0.7461], [0.2452, 0.2452, 0.2488], [0.4114, 0.0815, 0.7461], [0.5886, 0.9185, 0.2539], [0.7548, 0.7548, 0.7512], [0.9185, 0.5886, 0.2539], [0.1693, 0.8307, 0.0000], [0.3349, 0.6651, 0.5000], [0.5000, 0.5000, 0.0000], [0.6651, 0.3349, 0.5000], [0.8307, 0.1693, 0.0000], [0.0000, 0.0000, 0.5000]], "spacegroup": "C2/m (12)", "e_form_ev_per_atom": -0.81, "e_above_lowest_polymorph_kj_per_mol_fu": 161}


(5)
{"formula": "Cs2AgTeI6", "functional": "PBE-GGA", "state": "optimized geometry", "lattice": [[-4.2692, 4.2692, 6.1010], [4.2692, -4.2692, 6.1010], [4.2692, 4.2692, -6.1010]], "species": ["Cs", "Cs", "Ag", "Te", "I", "I", "I", "I", "I", "I"], "frac_coords": [[0.2500, 0.7500, 0.5000], [0.7500, 0.2500, 0.5000], [0.0000, 0.0000, 0.0000], [0.5000, 0.5000, 0.0000], [0.2435, 0.2435, 0.4871], [0.2435, 0.7565, 0.0000], [0.2514, 0.2514, 0.0000], [0.7486, 0.7486, 0.0000], [0.7565, 0.2435, 0.0000], [0.7565, 0.7565, 0.5129]], "spacegroup": "I4/mmm (139)", "raw_formation_energy_ev_per_atom": -0.7109}


(6)
{"formula": "Fe3IrS", "functional": "PBE-GGA", "state": "optimized geometry", "lattice": [[4.0208, 0.0000, 0.0000], [0.0000, 4.0208, 0.0000], [0.0000, 0.0000, 4.0208]], "species": ["Fe", "Fe", "Fe", "Ir", "S"], "frac_coords": [[0.0000, 0.0000, 0.5000], [0.0000, 0.5000, 0.0000], [0.5000, 0.0000, 0.0000], [0.5000, 0.5000, 0.5000], [0.0000, 0.0000, 0.0000]], "spacegroup": "Pm-3m (221)", "e_above_lowest_polymorph_kj_per_mol_fu": 0, "raw_formation_energy_ev_per_atom": 0.6276}


(7)
{"formula": "Sm2CuN", "functional": "PBE-GGA", "state": "optimized geometry", "lattice": [[1.7454, 1.0077, 8.4602], [-1.7454, 1.0077, 8.4602], [0.0000, -2.0154, 8.4602]], "species": ["Sm", "Sm", "Cu", "N"], "frac_coords": [[0.1126, 0.1126, 0.1126], [0.8874, 0.8874, 0.8874], [0.0000, 0.0000, 0.0000], [0.5000, 0.5000, 0.5000]], "spacegroup": "R-3m (166)", "raw_formation_energy_ev_per_atom": -0.3285}


(8)
{"formula": "NaSCl3", "functional": "PBE-GGA", "state": "optimized geometry", "lattice": [[7.7214, -1.7341, 0.0000], [7.7214, 1.7341, 0.0000], [-0.5723, 0.0000, 8.5233]], "species": ["Na", "Na", "S", "S", "Cl", "Cl", "Cl", "Cl", "Cl", "Cl"], "frac_coords": [[0.1053, 0.1053, 0.0335], [0.8947, 0.8947, 0.9665], [0.2756, 0.2756, 0.4318], [0.7244, 0.7244, 0.5682], [0.1084, 0.1084, 0.4705], [0.2556, 0.2556, 0.8235], [0.4858, 0.4858, 0.1890], [0.5142, 0.5142, 0.8110], [0.7444, 0.7444, 0.1765], [0.8916, 0.8916, 0.5295]], "spacegroup": "C2/m (12)", "e_above_lowest_polymorph_kj_per_mol_fu": 155, "raw_formation_energy_ev_per_atom": -0.4004}


(9)
{"formula": "RbPI4", "functional": "PBE-GGA", "state": "optimized geometry", "lattice": [[7.2373, 0.0000, 0.0000], [2.7346, 7.9488, 0.0000], [0.2570, 3.4380, 10.4130]], "species": ["Rb", "Rb", "P", "P", "I", "I", "I", "I", "I", "I", "I", "I"], "frac_coords": [[0.1967, 0.0934, 0.1728], [0.8033, 0.9066, 0.8272], [0.0923, 0.3851, 0.7002], [0.9077, 0.6149, 0.2998], [0.0090, 0.2701, 0.4703], [0.2406, 0.4748, 0.8754], [0.2470, 0.5823, 0.2272], [0.2594, 0.0177, 0.8391], [0.7406, 0.9823, 0.1609], [0.7530, 0.4177, 0.7728], [0.7594, 0.5252, 0.1246], [0.9910, 0.7299, 0.5297]], "spacegroup": "P-1 (2)", "raw_formation_energy_ev_per_atom": -0.4967}


(10)
{"formula": "HgH3Rh", "functional": "PBE-GGA", "state": "optimized geometry", "lattice": [[3.7030, 0.0000, 0.0000], [0.0000, 3.7030, 0.0000], [0.0000, 0.0000, 3.7030]], "species": ["Hg", "H", "H", "H", "Rh"], "frac_coords": [[0.0000, 0.0000, 0.0000], [0.0000, 0.0000, 0.5000], [0.0000, 0.5000, 0.0000], [0.5000, 0.0000, 0.0000], [0.5000, 0.5000, 0.5000]], "spacegroup": "Pm-3m (221)", "e_above_lowest_polymorph_kj_per_mol_fu": 387}


(11)
{"formula": "Y2B2PtRh5", "functional": "PBE-GGA", "state": "optimized geometry", "lattice": [[9.5365, 0.0000, 0.0000], [0.0000, 9.5365, 0.0000], [0.0000, 0.0000, 3.2484]], "species": ["Y", "Y", "Y", "Y", "B", "B", "B", "B", "Pt", "Pt", "Rh", "Rh", "Rh", "Rh", "Rh", "Rh", "Rh", "Rh", "Rh", "Rh"], "frac_coords": [[0.1775, 0.3225, 0.0000], [0.3225, 0.8225, 0.0000], [0.6775, 0.1775, 0.0000], [0.8225, 0.6775, 0.0000], [0.1223, 0.6223, 0.0000], [0.3777, 0.1223, 0.0000], [0.6223, 0.8777, 0.0000], [0.8777, 0.3777, 0.0000], [0.0000, 0.0000, 0.0000], [0.5000, 0.5000, 0.0000], [0.0000, 0.5000, 0.5000], [0.0703, 0.7744, 0.5000], [0.2256, 0.0703, 0.5000], [0.2744, 0.5703, 0.5000], [0.4297, 0.2744, 0.5000], [0.5000, 0.0000, 0.5000], [0.5703, 0.7256, 0.5000], [0.7256, 0.4297, 0.5000], [0.7744, 0.9297, 0.5000], [0.9297, 0.2256, 0.5000]], "spacegroup": "P4/mbm (127)", "e_form_ev_per_atom": -0.66}


(12)
{"formula": "SrTcW2", "functional": "PBE-GGA", "state": "optimized geometry", "lattice": [[1.4590, 0.8424, 10.1476], [-1.4590, 0.8424, 10.1476], [0.0000, -1.6847, 10.1476]], "species": ["Sr", "Tc", "W", "W"], "frac_coords": [[0.0000, 0.0000, 0.0000], [0.5000, 0.5000, 0.5000], [0.2375, 0.2375, 0.2375], [0.7625, 0.7625, 0.7625]], "spacegroup": "R-3m (166)", "e_form_ev_per_atom": 0.94, "e_above_lowest_polymorph_kj_per_mol_fu": 101}


Here are the calculated raw total energy numbers, same order: -5.032, -4.773, -3.099, -5.779, -2.411, -7.048, -5.793, -2.598, -2.593, -2.587, -7.571, -8.547 (eV per atom).
Here are the calculated total magnetic moment numbers, same order: 0.000, 0.000, 0.000, 0.000, 0.000, 0.000, 0.000, 0.000, 0.000, 0.000, 0.000, 0.000 (μB per formula unit).
Here are the calculated D(E_F) numbers, same order: 3.23, 5.38, 2.14, 8.07, 3.40, 9.41, 2.91, 4.26, 0.00, 1.92, 17.16, 4.86 (states/eV per cell).